No. 1
First-principles (PBE) data for a relaxed SrNb3Co crystal, as listed in Alexandria.

Summary:
- Space-group type: Pm-3m, No. 221
- Distance to the lowest polymorph of the same formula: 0.000 eV/atom
- Final energy: -7.04 eV per atom

a b c (Å): 4.7937 4.7937 4.7937
angles (deg): 90.00 90.00 90.00
Atoms (fractional coordinates):
Nb  0.0000  0.0000  0.5000
Nb  0.5000  0.0000  0.0000
Nb  0.0000  0.5000  0.0000
Co  0.0000  0.0000  0.0000
Sr  0.5000  0.5000  0.5000

=====

No. 2
First-principles (PBE) data for a relaxed SrTiNbCo2 crystal, as listed in Alexandria.

Summary:
- Space-group type: P4/mmm, No. 123
- Final energy: -4.59 eV per atom

a b c (Å): 4.5119 5.0219 4.5119
angles (deg): 90.00 90.00 90.00
Atoms (fractional coordinates):
Sr  0.0000  0.0000  0.0000
Ti  0.5000  0.5000  0.5000
Co  0.0000  0.0000  0.5000
Co  0.5000  0.0000  0.0000
Nb  0.0000  0.5000  0.0000

=====

No. 3
First-principles (PBE) data for a relaxed SrNb2TlCo crystal, as listed in Alexandria.

Summary:
- Space-group type: P4/mmm, No. 123
- Final energy: -5.59 eV per atom

a b c (Å): 4.7965 4.7965 5.1166
angles (deg): 90.00 90.00 90.00
Atoms (fractional coordinates):
Tl  0.0000  0.0000  0.5000
Sr  0.5000  0.5000  0.5000
Nb  0.0000  0.5000  0.0000
Nb  0.5000  0.0000  0.0000
Co  0.0000  0.0000  0.0000

=====

No. 4
First-principles (PBE) data for a relaxed TaNbCo2 crystal, as listed in Alexandria.

Summary:
- Space-group type: P4/mmm, No. 123
- Distance to the lowest polymorph of the same formula: 0.112 eV/atom
- Final energy: -9.12 eV per atom

a b c (Å): 3.6248 3.9575 3.9575
angles (deg): 90.00 90.00 90.00
Atoms (fractional coordinates):
Nb  0.5000  0.5000  0.5000
Ta  0.5000  0.0000  0.0000
Co  0.0000  0.5000  0.0000
Co  0.0000  0.0000  0.5000

=====

No. 5
First-principles (PBE) data for a relaxed TaNbCo4 crystal, as listed in Alexandria.

Summary:
- Space-group type: F-43m, No. 216
- Final energy: -8.58 eV per atom

a b c (Å): 4.7628 4.7628 4.7628
angles (deg): 60.00 60.00 60.00
Atoms (fractional coordinates):
Co  0.1245  0.6252  0.6252
Co  0.6252  0.1245  0.6252
Co  0.6252  0.6252  0.1245
Co  0.6252  0.6252  0.6252
Ta  0.0000  0.0000  0.0000
Nb  0.2500  0.2500  0.2500

=====

No. 6
First-principles (PBE) data for a relaxed Ta3NbCo crystal, as listed in Alexandria.

Summary:
- Space-group type: Pm-3m, No. 221
- Distance to the lowest polymorph of the same formula: 0.555 eV/atom
- Final energy: -9.80 eV per atom

a b c (Å): 4.5774 4.5774 4.5774
angles (deg): 90.00 90.00 90.00
Atoms (fractional coordinates):
Ta  0.5000  0.0000  0.0000
Ta  0.0000  0.0000  0.5000
Ta  0.0000  0.5000  0.0000
Co  0.0000  0.0000  0.0000
Nb  0.5000  0.5000  0.5000

=====

No. 7
First-principles (PBE) data for a relaxed Ta3NbCo crystal, as listed in Alexandria.

Summary:
- Space-group type: P2_1/m, No. 11
- Distance to the lowest polymorph of the same formula: 0.000 eV/atom
- Final energy: -10.36 eV per atom

a b c (Å): 2.8849 7.7542 8.0335
angles (deg): 106.38 90.00 90.00
Atoms (fractional coordinates):
Ta  0.1955  0.3893  0.7476
Ta  0.1955  0.0276  0.1574
Ta  0.6955  0.6847  0.1145
Ta  0.6955  0.0322  0.8065
Ta  0.6955  0.3940  0.3967
Ta  0.1955  0.7369  0.4395
Nb  0.1955  0.3474  0.0747
Nb  0.6955  0.0742  0.4794
Co  0.6955  0.6355  0.6708
Co  0.1955  0.7860  0.8833

=====

No. 8
First-principles (PBE) data for a relaxed TaNbCo2 crystal, as listed in Alexandria.

Summary:
- Space-group type: R-3m, No. 166
- Distance to the lowest polymorph of the same formula: 0.426 eV/atom
- Final energy: -8.81 eV per atom

a b c (Å): 3.1694 3.1694 7.2161
angles (deg): 77.31 77.31 60.00
Atoms (fractional coordinates):
Co  0.7500  0.7500  0.7500
Co  0.2500  0.2500  0.2500
Nb  0.0000  0.0000  0.0000
Ta  0.5000  0.5000  0.5000

=====

| no. | V (Å³ per cell) | energy of formation (eV/atom) |
| --- | --- | --- |
| 1 | 110 | 0.76 |
| 2 | 102 | 2.18 |
| 3 | 118 | 0.67 |
| 4 | 57 | -0.09 |
| 5 | 76 | -0.19 |
| 6 | 96 | 0.74 |
| 7 | 172 | 0.19 |
| 8 | 61 | 0.23 |